No. 1
8
Lattice="-2.528 -2.768 -2.466 5.335 -2.718 1.679 -3.567 -2.801 6.800" Properties=species:S:1:pos:R:3 comment="GGA-PBE BaMg2Ru, optimized geometry" formation_enthalpy_0k_kj_per_mol_fu=24 dos_at_fermi_per_ev_atom=0.61 dft_energy_ev_per_atom=-3.534 pbc="T T T"
Mg -1.875 -4.092 6.519
Mg -0.205 -5.232 2.013
Mg -0.554 -3.055 4.000
Mg 1.116 -4.194 -0.506
Ru 1.331 -2.937 1.944
Ru -2.090 -5.350 4.069
Ba 0.995 -5.792 5.505
Ba -1.754 -2.495 0.509

---

No. 2
4
Lattice="-4.308 2.342 0.151 -2.030 1.126 4.321 -0.200 4.675 1.472" Properties=species:S:1:pos:R:3 comment="GGA-PBE BaMgRu2, optimized geometry" formation_enthalpy_0k_kj_per_mol_fu=326 dos_at_fermi_per_ev_atom=1.23 dft_energy_ev_per_atom=-4.672 pbc="T T T"
Ru 0.000 0.000 0.000
Ru -1.635 2.036 1.486
Ba -3.269 4.071 2.972
Mg -4.904 6.107 4.458

---

No. 3
5
Lattice="4.679 0.000 0.000 0.000 4.679 0.000 2.340 2.340 5.354" Properties=species:S:1:pos:R:3 comment="GGA-PBE BaMg2Ru2, optimized geometry" formation_enthalpy_0k_kj_per_mol_fu=142 dos_at_fermi_per_ev_atom=0.84 dft_energy_ev_per_atom=-4.437 pbc="T T T"
Mg 4.679 2.340 2.677
Mg 2.340 4.679 2.677
Ru 4.679 4.679 4.181
Ru 2.340 2.340 1.172
Ba 0.000 0.000 0.000